A geometry-optimized V2CdAg structure. Source: the Alexandria database, functional PBE.

The calculation puts the raw total energy at -4.622 eV/atom. The value obtained for the energy relative to the elements is 0.88 eV per atom. The value obtained for the total magnetic moment is 0.000 μB/atom.

The space group is I-42d (No. 122) and the conventional cell measures 7.4511, 7.4511 and 5.1225 Å, with angles of 90.00, 90.00 and 90.00 degrees. The asymmetric unit holds V at (0.2420, 0.2500, 0.1250), Cd at (0.0000, 0.0000, 0.5000) and Ag at (0.0000, 0.0000, 0.0000).